No. 1
Ti12Al3Sb | PBE-GGA | optimized geometry

Results
N(E_F)	23.79	states/eV per cell
space-group type	No. 47
total magnetization	0.02	μB/f.u.
ΔE_f (raw)	-0.2560	eV per atom
V	271.4	Å³/cell
crystal system	orthorhombic

a b c (Å): 5.135 5.140 10.284
angles (deg): 90.00 90.00 90.00
Fractional positions:
Ti 0.000 0.000 0.122
Ti 0.000 0.000 0.369
Ti 0.000 0.000 0.631
Ti 0.000 0.000 0.878
Ti 0.243 0.500 0.500
Ti 0.251 0.500 0.000
Ti 0.500 0.253 0.246
Ti 0.500 0.253 0.754
Ti 0.500 0.747 0.246
Ti 0.500 0.747 0.754
Ti 0.749 0.500 0.000
Ti 0.757 0.500 0.500
Al 0.000 0.500 0.251
Al 0.000 0.500 0.749
Al 0.500 0.000 0.000
Sb 0.500 0.000 0.500

=====

No. 2
Ti2Al2Sb | PBE-GGA | optimized geometry

Results
energy above the most stable polymorph in this dataset	11.8	kJ/mol of atoms
N(E_F)	13.42	states/eV per cell
space-group type	No. 127
total magnetization	0.00	μB/f.u.
ΔE_f (raw)	-0.0909	eV per atom
V	181.0	Å³/cell
crystal system	tetragonal

a b c (Å): 7.008 7.008 3.685
angles (deg): 90.00 90.00 90.00
Fractional positions:
Ti 0.175 0.325 0.000
Ti 0.325 0.825 0.000
Ti 0.675 0.175 0.000
Ti 0.825 0.675 0.000
Al 0.124 0.624 0.500
Al 0.376 0.124 0.500
Al 0.624 0.876 0.500
Al 0.876 0.376 0.500
Sb 0.000 0.000 0.500
Sb 0.500 0.500 0.500